Record 1
Gd3Cd: relaxed, PBE.

abc: 4.891 4.891 4.891
angles: 90.00 90.00 90.00
Fractional coordinates of all 4 atoms:
Cd 0.000 0.000 0.000
Gd 0.500 0.500 0.000
Gd 0.000 0.500 0.500
Gd 0.500 0.000 0.500

Computed properties:
**Formation energy from the elements**: -133.3 meV/atom
**Density of states at the Fermi level**: 1.12 states/eV per atom
**Crystal system**: cubic
**SG**: Pm-3m
**Offset from the most stable computed form**: 0 kJ/mol of formula units

---

Record 2
BeSiS2Cl: relaxed, PBE.

abc: 4.550 4.550 4.531
angles: 90.00 90.00 90.00
Fractional coordinates of all 5 atoms:
Si 0.000 0.000 0.000
Cl 0.000 0.000 0.500
S 0.500 0.000 0.000
Be 0.500 0.500 0.500
S 0.000 0.500 0.000

Computed properties:
**Density of states at the Fermi level**: 0.44 states/eV per atom
**Crystal system**: tetragonal
**SG**: P4/mmm
**Formation energy without anion corrections**: 0.429 eV per atom
**Offset from the most stable computed form**: 120 kJ/mol of formula units

---

Record 3
MnZnMo2: relaxed, PBE.

abc: 5.326 5.036 2.634
angles: 82.91 74.87 117.43
Fractional coordinates of all 4 atoms:
Mn 0.500 0.500 0.000
Mo 0.000 0.000 0.000
Mo 0.500 0.000 0.500
Zn 0.000 0.500 0.500

Computed properties:
**Formation energy from the elements**: 166.8 meV/atom
**Density of states at the Fermi level**: 0.82 states/eV per atom
**Crystal system**: monoclinic
**SG**: C2/m